(1)
Here is an optimized crystal structure of La3TbNdDy from the Alexandria database. Energies are from PBE.

It has space group P2_1/m (No. 11), with a = 10.998 Å, b = 3.679 Å, c = 11.015 Å, α = 90.00°, β = 109.62° and γ = 90.00°. The asymmetric unit holds La at (0.040, 0.250, 0.371), La at (0.291, 0.750, 0.625), La at (0.455, 0.750, 0.122), Tb at (0.122, 0.750, 0.120), Nd at (0.372, 0.250, 0.371) and Dy at (0.206, 0.250, 0.879).

The calculation puts the total energy at -4.7755 eV/atom. Its crystal system is monoclinic.

***

(2)
Here is an optimized crystal structure of La2Tb3Nd6Dy from the Alexandria database. Energies are from PBE.

It has space group C2/m (No. 12), with a = 6.333 Å, b = 10.973 Å, c = 12.090 Å, α = 90.00°, β = 100.11° and γ = 90.00°. The asymmetric unit holds La at (0.000, 0.167, 0.000), Tb at (0.000, 0.000, 0.500), Tb at (0.000, 0.334, 0.500), Nd at (0.247, 0.500, 0.746), Nd at (0.249, 0.166, 0.746) and Dy at (0.000, 0.500, 0.000).

The calculation puts the total energy at -4.7289 eV/atom. Its crystal system is monoclinic.

***

(3)
Here is an optimized crystal structure of LaTb4Nd2Dy from the Alexandria database. Energies are from PBE.

It has space group Pmmm (No. 47), with a = 5.110 Å, b = 5.134 Å, c = 10.177 Å, α = 90.00°, β = 90.00° and γ = 90.00°. The asymmetric unit holds La at (0.000, 0.000, 0.000), Tb at (0.000, 0.500, 0.254), Tb at (0.500, 0.000, 0.254), Nd at (0.000, 0.000, 0.500), Nd at (0.500, 0.500, 0.000) and Dy at (0.500, 0.500, 0.500).

The calculation puts the total energy at -4.6789 eV/atom. Its crystal system is orthorhombic.